Record 1
{
  "formula": "SrHg4As",
  "functional": "PBE-GGA",
  "state": "relaxed",
  "spacegroup": "F-43m (216)",
  "dos_ef_per_ev_fu": 5.3,
  "lattice": [[0.000, 4.331, 4.331], [4.331, 0.000, 4.331], [4.331, 4.331, 0.000]],
  "species": ["Hg", "Hg", "As", "Hg", "Hg", "Sr"],
  "fractional_positions": [[0.374, 0.374, 0.374], [0.374, 0.374, 0.877], [0.000, 0.000, 0.000], [0.877, 0.374, 0.374], [0.374, 0.877, 0.374], [0.750, 0.750, 0.750]]
}

***

Record 2
{
  "formula": "SrHgAs2",
  "functional": "PBE-GGA",
  "state": "relaxed",
  "spacegroup": "P4/mmm (123)",
  "dos_ef_per_ev_fu": 1.6,
  "lattice": [[4.712, 0.000, 0.000], [0.000, 4.712, 0.000], [0.000, 0.000, 4.355]],
  "species": ["Hg", "Sr", "As", "As"],
  "fractional_positions": [[0.500, 0.000, 0.500], [0.000, 0.500, 0.500], [0.500, 0.500, 0.000], [0.000, 0.000, 0.000]]
}

***

Record 3
{
  "formula": "SrHgAs4",
  "functional": "PBE-GGA",
  "state": "relaxed",
  "spacegroup": "F-43m (216)",
  "dos_ef_per_ev_fu": 2.0,
  "lattice": [[5.266, -0.554, 2.520], [0.416, -0.635, 5.815], [1.633, -5.151, 2.277]],
  "species": ["As", "As", "Sr", "As", "Hg", "As"],
  "fractional_positions": [[0.383, 0.851, 0.383], [0.383, 0.383, 0.383], [0.000, 0.000, 0.000], [0.851, 0.383, 0.383], [0.750, 0.750, 0.750], [0.383, 0.383, 0.851]]
}

***

Record 4
{
  "formula": "TaHgAs",
  "functional": "PBE-GGA",
  "state": "relaxed",
  "spacegroup": "Cm (8)",
  "dos_ef_per_ev_fu": 1.5,
  "polymorph_energy_ev_per_atom": 0.000,
  "lattice": [[-2.472, -2.432, -4.546], [2.115, -1.373, -5.143], [0.780, -0.240, 5.669]],
  "species": ["Ta", "Hg", "As"],
  "fractional_positions": [[0.639, 0.638, 0.001], [0.332, 0.332, 0.000], [0.029, 0.030, 0.999]]
}

***

Record 5
{
  "formula": "TaHgAs",
  "functional": "PBE-GGA",
  "state": "relaxed",
  "spacegroup": "I4mm (107)",
  "dos_ef_per_ev_fu": 1.7,
  "polymorph_energy_ev_per_atom": 0.136,
  "lattice": [[-5.657, 5.158, -0.592], [-6.841, 1.894, -2.926], [5.303, -4.372, 3.423]],
  "species": ["Ta", "Hg", "As"],
  "fractional_positions": [[0.660, 0.660, 0.000], [0.308, 0.308, 0.000], [0.032, 0.032, 0.000]]
}

***

Record 6
{
  "formula": "TaHgAs",
  "functional": "PBE-GGA",
  "state": "relaxed",
  "spacegroup": "P-6m2 (187)",
  "dos_ef_per_ev_fu": 3.3,
  "polymorph_energy_ev_per_atom": 0.229,
  "lattice": [[4.398, 0.000, 0.000], [-2.199, 3.809, 0.000], [0.000, 0.000, 3.714]],
  "species": ["Ta", "Hg", "As"],
  "fractional_positions": [[0.333, 0.667, 0.833], [0.667, 0.333, 0.333], [0.000, 0.000, 0.833]]
}

***

Record 7
{
  "formula": "Ta2HgAs",
  "functional": "PBE-GGA",
  "state": "relaxed",
  "spacegroup": "P2/m (10)",
  "dos_ef_per_ev_fu": 2.0,
  "polymorph_energy_ev_per_atom": 0.111,
  "lattice": [[-0.727, -2.288, -3.365], [2.571, 0.956, -1.205], [4.222, -4.017, 1.820]],
  "species": ["Hg", "Ta", "Ta", "As"],
  "fractional_positions": [[0.500, 0.750, 0.750], [0.000, 0.429, 0.481], [0.000, 0.071, 0.019], [0.500, 0.250, 0.250]]
}

***

Record 8
{
  "formula": "Ta2HgAs",
  "functional": "PBE-GGA",
  "state": "relaxed",
  "spacegroup": "Cmmm (65)",
  "dos_ef_per_ev_fu": 2.9,
  "polymorph_energy_ev_per_atom": 0.235,
  "lattice": [[-2.224, 1.696, 3.881], [-2.432, -4.117, 0.122], [2.228, -1.262, 1.829]],
  "species": ["Ta", "As", "Hg", "Ta"],
  "fractional_positions": [[0.000, 0.000, 0.000], [0.500, 0.000, 0.500], [0.000, 0.500, 0.500], [0.500, 0.500, 0.000]]
}

***

Record 9
{
  "formula": "Ta2HgAs",
  "functional": "PBE-GGA",
  "state": "relaxed",
  "spacegroup": "I-4m2 (119)",
  "dos_ef_per_ev_fu": 4.1,
  "polymorph_energy_ev_per_atom": 0.313,
  "lattice": [[-0.795, 2.210, 4.815], [0.529, -3.302, 4.185], [2.906, 1.194, -4.339]],
  "species": ["Hg", "Ta", "As", "Ta"],
  "fractional_positions": [[0.750, 0.250, 0.500], [0.250, 0.750, 0.500], [0.500, 0.500, 0.000], [0.000, 0.000, 0.000]]
}

***

Record 10
{
  "formula": "Ta2HgAs",
  "functional": "PBE-GGA",
  "state": "relaxed",
  "spacegroup": "Pmmm (47)",
  "dos_ef_per_ev_fu": 2.5,
  "polymorph_energy_ev_per_atom": 0.256,
  "lattice": [[-0.686, 0.519, -3.374], [1.237, -4.518, -0.946], [-4.229, -1.296, 0.661]],
  "species": ["Hg", "Ta", "As", "Ta"],
  "fractional_positions": [[0.000, 0.500, 0.500], [0.000, 0.000, 0.000], [0.500, 0.000, 0.500], [0.500, 0.500, 0.000]]
}

***

Record 11
{
  "formula": "TaHgAs",
  "functional": "PBE-GGA",
  "state": "relaxed",
  "spacegroup": "Fmm2 (42)",
  "dos_ef_per_ev_fu": 1.1,
  "polymorph_energy_ev_per_atom": 0.077,
  "lattice": [[7.967, 0.001, -0.001], [7.276, 2.879, 0.011], [0.690, -0.622, 2.810]],
  "species": ["Ta", "As", "Hg"],
  "fractional_positions": [[0.658, 0.658, 0.342], [0.031, 0.031, 0.969], [0.311, 0.311, 0.689]]
}

***

Record 12
{
  "formula": "Ta2HgAs",
  "functional": "PBE-GGA",
  "state": "relaxed",
  "spacegroup": "Cmmm (65)",
  "dos_ef_per_ev_fu": 2.5,
  "polymorph_energy_ev_per_atom": 0.145,
  "lattice": [[3.019, 0.023, 0.000], [-0.862, 2.893, 0.000], [0.000, 0.000, 8.424]],
  "species": ["Ta", "Ta", "Hg", "As"],
  "fractional_positions": [[0.000, 0.000, 0.027], [0.000, 0.000, 0.473], [0.500, 0.500, 0.750], [0.500, 0.500, 0.250]]
}

***

Record 13
{
  "formula": "Ta2HgAs",
  "functional": "PBE-GGA",
  "state": "relaxed",
  "spacegroup": "Immm (71)",
  "dos_ef_per_ev_fu": 2.3,
  "polymorph_energy_ev_per_atom": 0.125,
  "lattice": [[-3.795, 1.669, -3.013], [-1.609, -0.649, -4.823], [-3.829, -2.963, -0.829]],
  "species": ["Hg", "Ta", "Ta", "As"],
  "fractional_positions": [[0.250, 0.250, 0.250], [0.469, 0.469, 0.531], [0.031, 0.031, 0.969], [0.750, 0.750, 0.750]]
}

***

Record 14
{
  "formula": "Ta2HgAs",
  "functional": "PBE-GGA",
  "state": "relaxed",
  "spacegroup": "C2/m (12)",
  "dos_ef_per_ev_fu": 2.1,
  "polymorph_energy_ev_per_atom": 0.231,
  "lattice": [[-0.367, -2.574, 4.618], [-0.033, -3.340, -4.114], [2.763, -1.109, 0.203]],
  "species": ["As", "Ta", "Ta", "Hg"],
  "fractional_positions": [[0.500, 0.000, 0.500], [0.500, 0.500, 0.000], [0.000, 0.000, 0.000], [0.000, 0.500, 0.500]]
}

***

Record 15
{
  "formula": "Ta2HgAs",
  "functional": "PBE-GGA",
  "state": "relaxed",
  "spacegroup": "R-3m (166)",
  "dos_ef_per_ev_fu": 3.9,
  "polymorph_energy_ev_per_atom": 0.149,
  "lattice": [[-6.395, -1.144, -5.995], [-8.063, -1.441, -3.326], [-7.469, 1.431, -4.507]],
  "species": ["Ta", "Hg", "Ta", "As"],
  "fractional_positions": [[0.509, 0.509, 0.509], [0.750, 0.750, 0.750], [0.991, 0.991, 0.991], [0.250, 0.250, 0.250]]
}

***

Record 16
{
  "formula": "Ta2HgAs",
  "functional": "PBE-GGA",
  "state": "relaxed",
  "spacegroup": "P4mm (99)",
  "dos_ef_per_ev_fu": 1.4,
  "polymorph_energy_ev_per_atom": 0.100,
  "lattice": [[2.869, 0.000, 0.000], [0.000, 2.869, 0.000], [0.000, 0.000, 10.448]],
  "species": ["Hg", "Ta", "Ta", "As"],
  "fractional_positions": [[0.500, 0.500, 0.800], [0.500, 0.500, 0.242], [0.000, 0.000, 0.023], [0.000, 0.000, 0.434]]
}

***

Record 17
{
  "formula": "Ta2HgAs",
  "functional": "PBE-GGA",
  "state": "relaxed",
  "spacegroup": "P4/mmm (123)",
  "dos_ef_per_ev_fu": 3.1,
  "polymorph_energy_ev_per_atom": 0.000,
  "lattice": [[-0.448, -1.563, -2.701], [3.082, -0.649, -0.136], [-1.128, -6.145, 3.744]],
  "species": ["Hg", "As", "Ta", "Ta"],
  "fractional_positions": [[0.500, 0.500, 0.750], [0.500, 0.500, 0.250], [0.000, 0.000, 0.040], [0.000, 0.000, 0.460]]
}

***

Record 18
{
  "formula": "Ta2HgAs",
  "functional": "PBE-GGA",
  "state": "relaxed",
  "spacegroup": "Pm (6)",
  "dos_ef_per_ev_fu": 2.5,
  "polymorph_energy_ev_per_atom": 0.167,
  "lattice": [[4.866, 0.000, 0.000], [0.000, 2.943, 0.004], [0.000, 1.123, 5.312]],
  "species": ["Ta", "Hg", "As", "Ta"],
  "fractional_positions": [[0.000, 0.091, 0.014], [0.500, 0.716, 0.755], [0.000, 0.330, 0.459], [0.500, 0.362, 0.271]]
}

***

Record 19
{
  "formula": "Ta2HgAs",
  "functional": "PBE-GGA",
  "state": "relaxed",
  "spacegroup": "Cmm2 (35)",
  "dos_ef_per_ev_fu": 3.2,
  "polymorph_energy_ev_per_atom": 0.012,
  "lattice": [[-1.047, -1.623, -2.230], [2.780, -0.914, 0.376], [-3.046, -6.676, 6.287]],
  "species": ["As", "Ta", "Hg", "Ta"],
  "fractional_positions": [[0.000, 0.000, 0.450], [0.500, 0.500, 0.248], [0.500, 0.500, 0.779], [0.000, 0.000, 0.022]]
}

***

Record 20
{
  "formula": "TaHgAs",
  "functional": "PBE-GGA",
  "state": "relaxed",
  "spacegroup": "P3m1 (156)",
  "dos_ef_per_ev_fu": 3.7,
  "polymorph_energy_ev_per_atom": 0.118,
  "lattice": [[-1.752, 0.034, -2.600], [2.566, -1.797, 0.139], [-3.906, -5.379, 2.562]],
  "species": ["Hg", "Ta", "As"],
  "fractional_positions": [[0.667, 0.333, 0.347], [0.333, 0.667, 0.688], [0.000, 0.000, 0.965]]
}

***

Record 21
{
  "formula": "Ta2HgAs",
  "functional": "PBE-GGA",
  "state": "relaxed",
  "spacegroup": "Fm-3m (225)",
  "dos_ef_per_ev_fu": 6.4,
  "polymorph_energy_ev_per_atom": 0.274,
  "lattice": [[-3.101, -3.344, 1.009], [-3.651, -0.728, -2.821], [-0.198, -3.867, -2.613]],
  "species": ["As", "Ta", "Ta", "Hg"],
  "fractional_positions": [[0.000, 0.000, 0.000], [0.750, 0.750, 0.750], [0.250, 0.250, 0.250], [0.500, 0.500, 0.500]]
}

***

Record 22
{
  "formula": "TaHg3As",
  "functional": "PBE-GGA",
  "state": "relaxed",
  "spacegroup": "Pm-3m (221)",
  "dos_ef_per_ev_fu": 2.9,
  "polymorph_energy_ev_per_atom": 0.000,
  "lattice": [[-4.600, -2.691, -0.544], [1.824, -3.789, 3.320], [-2.053, 2.665, 4.170]],
  "species": ["Ta", "Hg", "As", "Hg", "Hg"],
  "fractional_positions": [[0.000, 0.000, 0.000], [0.500, 0.000, 0.000], [0.500, 0.500, 0.500], [0.000, 0.500, 0.000], [0.000, 0.000, 0.500]]
}

***

Record 23
{
  "formula": "Ta2HgAs",
  "functional": "PBE-GGA",
  "state": "relaxed",
  "spacegroup": "F-43m (216)",
  "dos_ef_per_ev_fu": 4.3,
  "polymorph_energy_ev_per_atom": 0.609,
  "lattice": [[4.776, 0.000, 0.000], [2.388, 4.136, 0.000], [2.388, 1.379, 3.900]],
  "species": ["Ta", "As", "Hg", "Ta"],
  "fractional_positions": [[0.250, 0.250, 0.250], [0.500, 0.500, 0.500], [0.750, 0.750, 0.750], [0.000, 0.000, 0.000]]
}

***

Record 24
{
  "formula": "Ta2HgAs",
  "functional": "PBE-GGA",
  "state": "relaxed",
  "spacegroup": "P4mm (99)",
  "dos_ef_per_ev_fu": 3.2,
  "polymorph_energy_ev_per_atom": 0.043,
  "lattice": [[3.356, 0.000, 0.000], [0.000, 3.352, 0.000], [0.000, 0.000, 7.218]],
  "species": ["Hg", "Ta", "As", "Ta"],
  "fractional_positions": [[0.500, 0.500, 0.775], [0.500, 0.500, 0.260], [0.000, 0.000, 0.429], [0.000, 0.000, 0.036]]
}

***

Record 25
{
  "formula": "TaHg3As",
  "functional": "PBE-GGA",
  "state": "relaxed",
  "spacegroup": "Pm-3m (221)",
  "dos_ef_per_ev_fu": 4.8,
  "polymorph_energy_ev_per_atom": 0.172,
  "lattice": [[-4.603, 0.823, 2.289], [-1.682, -4.616, -1.722], [1.757, -2.262, 4.347]],
  "species": ["Hg", "Ta", "Hg", "As", "Hg"],
  "fractional_positions": [[0.000, 0.500, 0.000], [0.500, 0.500, 0.500], [0.500, 0.000, 0.000], [0.000, 0.000, 0.000], [0.000, 0.000, 0.500]]
}

***

Record 26
{
  "formula": "TaHgAs4",
  "functional": "PBE-GGA",
  "state": "relaxed",
  "spacegroup": "F-43m (216)",
  "dos_ef_per_ev_fu": 6.1,
  "lattice": [[0.000, 3.901, 3.901], [3.901, 0.000, 3.901], [3.901, 3.901, 0.000]],
  "species": ["As", "As", "As", "As", "Ta", "Hg"],
  "fractional_positions": [[0.879, 0.374, 0.374], [0.374, 0.374, 0.374], [0.374, 0.879, 0.374], [0.374, 0.374, 0.879], [0.000, 0.000, 0.000], [0.750, 0.750, 0.750]]
}

***

Record 27
{
  "formula": "Ta2HgAs",
  "functional": "PBE-GGA",
  "state": "relaxed",
  "spacegroup": "Imm2 (44)",
  "dos_ef_per_ev_fu": 2.9,
  "polymorph_energy_ev_per_atom": 0.161,
  "lattice": [[-1.280, -4.708, 2.778], [-0.664, -4.754, -2.913], [3.474, 4.199, 1.351]],
  "species": ["Ta", "Ta", "As", "Hg"],
  "fractional_positions": [[0.015, 0.015, 0.000], [0.267, 0.767, 0.500], [0.478, 0.478, 0.000], [0.740, 0.240, 0.500]]
}

***

Record 28
{
  "formula": "Ta2HgAs",
  "functional": "PBE-GGA",
  "state": "relaxed",
  "spacegroup": "I-42d (122)",
  "dos_ef_per_ev_fu": 3.6,
  "polymorph_energy_ev_per_atom": 0.482,
  "lattice": [[-1.456, -3.731, -0.054], [3.731, -1.457, 0.074], [0.917, -2.651, 9.952]],
  "species": ["Hg", "As", "Ta", "Hg", "Ta", "Ta", "As", "Ta"],
  "fractional_positions": [[0.750, 0.250, 0.500], [0.500, 0.500, 0.000], [0.620, 0.125, 0.250], [0.000, 0.000, 0.000], [0.130, 0.625, 0.250], [0.875, 0.870, 0.750], [0.250, 0.750, 0.500], [0.375, 0.380, 0.750]]
}

***

Record 29
{
  "formula": "TaHgAs3",
  "functional": "PBE-GGA",
  "state": "relaxed",
  "spacegroup": "Pm-3m (221)",
  "dos_ef_per_ev_fu": 3.9,
  "polymorph_energy_ev_per_atom": 0.000,
  "lattice": [[5.029, 0.000, 0.000], [0.000, 5.029, 0.000], [0.000, 0.000, 5.029]],
  "species": ["Ta", "As", "As", "As", "Hg"],
  "fractional_positions": [[0.000, 0.000, 0.000], [0.000, 0.000, 0.500], [0.000, 0.500, 0.000], [0.500, 0.000, 0.000], [0.500, 0.500, 0.500]]
}

***

Record 30
{
  "formula": "TaHgAs3",
  "functional": "PBE-GGA",
  "state": "relaxed",
  "spacegroup": "Pm-3m (221)",
  "dos_ef_per_ev_fu": 5.9,
  "polymorph_energy_ev_per_atom": 1.353,
  "lattice": [[5.008, 0.000, 0.000], [0.000, 5.008, 0.000], [0.000, 0.000, 5.008]],
  "species": ["Ta", "As", "As", "As", "Hg"],
  "fractional_positions": [[0.500, 0.500, 0.500], [0.000, 0.000, 0.500], [0.500, 0.000, 0.000], [0.000, 0.500, 0.000], [0.000, 0.000, 0.000]]
}

***

no.,total energy (eV per atom)
1,-1.353
2,-3.170
3,-3.641
4,-5.492
5,-5.356
6,-5.263
7,-6.984
8,-6.860
9,-6.782
10,-6.839
11,-5.415
12,-6.950
13,-6.970
14,-6.864
15,-6.947
16,-6.995
17,-7.095
18,-6.929
19,-7.083
20,-5.374
21,-6.821
22,-2.343
23,-6.487
24,-7.052
25,-2.171
26,-4.466
27,-6.934
28,-6.613
29,-4.948
30,-3.595